! Ba5Fe5O14, relaxed, DFT GGA+U; values from VASP
! Electronic total energy (eV/cell): -305.17
! DOS at the Fermi energy (states/eV/atom): 0.35
&SYSTEM
  ibrav = 0, nat = 48, ntyp = 3
/
ATOMIC_SPECIES
O 16.00 O.upf
Ba 137.33 Ba.upf
Fe 55.84 Fe.upf
CELL_PARAMETERS angstrom
5.900 -0.002 0.000
-2.979 5.093 0.000
0.000 0.000 24.670
ATOMIC_POSITIONS crystal
O 0.869 0.638 0.356
O 0.846 0.154 0.543
O 0.155 0.289 0.450
O 0.289 0.155 0.550
O 0.155 0.289 0.050
O 0.633 0.367 0.250
O 0.696 0.304 0.750
O 0.711 0.845 0.050
O 0.131 0.362 0.644
O 0.128 0.872 0.839
O 0.154 0.846 0.043
O 0.869 0.638 0.144
O 0.711 0.845 0.450
O 0.131 0.362 0.856
O 0.845 0.711 0.950
O 0.362 0.131 0.356
O 0.846 0.154 0.957
O 0.638 0.869 0.856
O 0.872 0.128 0.161
O 0.128 0.872 0.661
O 0.367 0.633 0.750
O 0.638 0.869 0.644
O 0.304 0.696 0.250
O 0.362 0.131 0.144
O 0.154 0.846 0.457
O 0.289 0.155 0.950
O 0.845 0.711 0.550
O 0.872 0.128 0.339
Ba 0.332 0.668 0.539
Ba 0.332 0.668 0.961
Ba 0.354 0.646 0.140
Ba 0.646 0.354 0.640
Ba 0.668 0.332 0.039
Ba 0.354 0.646 0.360
Ba 0.045 0.955 0.250
Ba 0.668 0.332 0.461
Ba 0.955 0.045 0.750
Ba 0.646 0.354 0.860
Fe 0.692 0.308 0.322
Fe 0.308 0.692 0.822
Fe 0.981 0.019 0.607
Fe 0.308 0.692 0.678
Fe 0.981 0.019 0.893
Fe 0.019 0.981 0.393
Fe 0.019 0.981 0.107
Fe 0.000 0.000 0.000
Fe 0.692 0.308 0.178
Fe 0.000 0.000 0.500